# 1
SrNb3Ni | PBE | optimized geometry

Cell lengths 4.7982, 4.7982, 4.7982 Å; angles 90.00, 90.00, 90.00 degrees
Closest atoms and distances in Å follow each position.
Sites, in units of the cell vectors:
Nb (0.5000, 0.0000, 0.0000)  2 Sr 2.40
Nb (0.0000, 0.5000, 0.0000)  2 Sr 2.40
Nb (0.0000, 0.0000, 0.5000)  2 Sr 2.40
Ni (0.5000, 0.5000, 0.5000)  12 Nb 3.39
Sr (0.0000, 0.0000, 0.0000)  6 Nb 2.40

Output
formation energy: 269 kJ per mole of atoms
Fermi-level density of states: 9.5 states/eV per cell
E: -4.746 eV/atom

***

# 2
SmDySc2Te4 | PBE | optimized geometry

Cell lengths 4.2452, 7.4046, 7.4825 Å; angles 108.99, 90.00, 90.00 degrees
Closest atoms and distances in Å follow each position.
Sites, in units of the cell vectors:
Te (0.5000, 0.2600, 0.2696)  3 Sc 2.94-2.97, 1 Dy 3.09, 2 Sm 3.12
Te (0.0000, 0.2479, 0.7330)  3 Sc 2.94-2.97, 2 Dy 3.09, 1 Sm 3.12
Te (0.0000, 0.7521, 0.2670)  3 Sc 2.94-2.97, 2 Dy 3.09, 1 Sm 3.12
Te (0.5000, 0.7400, 0.7304)  3 Sc 2.94-2.97, 1 Dy 3.09, 2 Sm 3.12
Sm (0.0000, 0.0000, 0.0000)  6 Te 3.12
Sc (0.5000, 0.0000, 0.5000)  6 Te 2.97
Sc (0.0000, 0.5000, 0.5000)  6 Te 2.94
Dy (0.5000, 0.5000, 0.0000)  6 Te 3.09

Output
Fermi-level density of states: 5.5 states/eV per cell
E: -5.529 eV/atom

***

# 3
CsBeSe2 | PBE | optimized geometry

Cell lengths 8.6085, 8.6085, 8.6085 Å; angles 24.78, 24.78, 24.78 degrees
Closest atoms and distances in Å follow each position.
Sites, in units of the cell vectors:
Cs (0.0000, 0.0000, 0.0000)  6 Se 3.56, 6 Cs 3.69
Se (0.2196, 0.2196, 0.2196)  3 Be 2.51
Se (0.7804, 0.7804, 0.7804)  3 Be 2.51
Be (0.5000, 0.5000, 0.5000)  6 Se 2.51

Output
Fermi-level density of states: 3.4 states/eV per cell
E: -3.240 eV/atom